TaFe4Si | PBE-GGA | optimized geometry

## Properties
Formation energy without anion corrections   -0.79 eV/f.u.
DOS(E_F)   3.9 states/eV per cell
M_tot   1.105 μB/atom

Cell and atoms, written as POSCAR:
```
TaFe4Si
1.0
3.629 -2.104 2.181
2.056 2.083 3.714
-0.569 -1.800 4.335
Ta Fe Si
1 4 1
direct
0.000 0.000 0.000
0.875 0.375 0.375
0.375 0.375 0.875
0.375 0.875 0.375
0.375 0.375 0.375
0.750 0.750 0.750
```

TaFeSi2 | PBE-GGA | optimized geometry

## Properties
Formation energy without anion corrections   -0.62 eV/f.u.
DOS(E_F)   3.1 states/eV per cell
M_tot   0.413 μB/atom

Cell and atoms, written as POSCAR:
```
TaFeSi2
1.0
3.523 0.000 0.000
0.000 4.278 0.000
0.000 0.000 3.649
Fe Si Ta
1 2 1
direct
0.000 0.500 0.500
0.000 0.000 0.000
0.500 0.500 0.000
0.500 0.000 0.500
```

TaFeSi2 | PBE-GGA | optimized geometry

## Properties
Formation energy without anion corrections   -0.04 eV/f.u.
DOS(E_F)   2.9 states/eV per cell
M_tot   0.458 μB/atom

Cell and atoms, written as POSCAR:
```
TaFeSi2
1.0
0.000 3.014 3.014
3.014 0.000 3.014
3.014 3.014 0.000
Si Fe Ta
2 1 1
direct
0.250 0.250 0.250
0.750 0.750 0.750
0.000 0.000 0.000
0.500 0.500 0.500
```

Ta2FeSi | PBE-GGA | optimized geometry

## Properties
Formation energy without anion corrections   0.35 eV/f.u.
DOS(E_F)   3.3 states/eV per cell
M_tot   0.553 μB/atom

Cell and atoms, written as POSCAR:
```
Ta2FeSi
1.0
4.401 0.000 0.000
2.201 3.812 0.000
2.201 1.271 3.594
Fe Si Ta
1 1 2
direct
0.500 0.500 0.500
0.750 0.750 0.750
0.000 0.000 0.000
0.250 0.250 0.250
```

TaFe2Si | PBE-GGA | optimized geometry

## Properties
Formation energy without anion corrections   -0.62 eV/f.u.
DOS(E_F)   4.1 states/eV per cell
M_tot   0.798 μB/atom

Cell and atoms, written as POSCAR:
```
TaFe2Si
1.0
-0.261 1.801 -3.676
-2.765 0.143 0.266
-0.460 4.226 2.103
Fe Si Ta
2 1 1
direct
0.000 0.037 0.031
0.500 0.329 0.238
0.000 0.357 0.489
0.500 0.777 0.742
```

TaFe2Si | PBE-GGA | optimized geometry

## Properties
Formation energy without anion corrections   -0.48 eV/f.u.
DOS(E_F)   3.8 states/eV per cell
M_tot   0.905 μB/atom

Cell and atoms, written as POSCAR:
```
TaFe2Si
1.0
-2.930 -2.512 -1.596
1.712 -0.752 -1.959
1.711 -3.630 2.572
Fe Si Ta
2 1 1
direct
0.000 0.085 0.008
0.000 0.415 0.492
0.500 0.250 0.250
0.500 0.750 0.750
```

Uncorrected energy (eV/atom)
-8.653, -7.946, -7.801, -9.309, -8.706, -8.670